# CaCeEr2Te4, relaxed, DFT PBE
data_CaCeEr2Te4
_chemical_formula_sum 'Ca1 Ce1 Er2 Te4'
_symmetry_space_group_name_H-M 'P 1'
_symmetry_Int_Tables_number 1
_cell_length_a 4.378
_cell_length_b 7.685
_cell_length_c 7.610
_cell_angle_alpha 109.14
_cell_angle_beta 90.00
_cell_angle_gamma 90.00
loop_
_symmetry_equiv_pos_as_xyz
'x,y,z'
loop_
_atom_site_label
_atom_site_fract_x
_atom_site_fract_y
_atom_site_fract_z
Ca1 0.000 0.000 0.000
Ce1 0.500 0.500 0.000
Er1 0.500 0.000 0.500
Er2 0.000 0.500 0.500
Te1 0.500 0.250 0.260
Te2 0.500 0.750 0.740
Te3 0.000 0.242 0.738
Te4 0.000 0.758 0.262
# Calculated density ... 7.037 g cm⁻³
# Space group ... P2/m
# Raw formation energy ... -1.352 eV per atom
# Energy ... -5.06 eV/atom
# Size of the total moment ... 1.22 μB/f.u.

# LiTb2Si3Ni12, relaxed, DFT PBE
data_LiTb2Si3Ni12
_chemical_formula_sum 'Li1 Tb2 Si3 Ni12'
_symmetry_space_group_name_H-M 'P 1'
_symmetry_Int_Tables_number 1
_cell_length_a 6.234
_cell_length_b 6.234
_cell_length_c 6.234
_cell_angle_alpha 84.19
_cell_angle_beta 84.19
_cell_angle_gamma 84.19
loop_
_symmetry_equiv_pos_as_xyz
'x,y,z'
loop_
_atom_site_label
_atom_site_fract_x
_atom_site_fract_y
_atom_site_fract_z
Li1 0.000 0.000 0.000
Tb1 0.652 0.652 0.652
Tb2 0.348 0.348 0.348
Si1 0.500 0.000 0.000
Si2 0.000 0.500 0.000
Si3 0.000 0.000 0.500
Ni1 0.384 0.384 0.904
Ni2 0.814 0.814 0.294
Ni3 0.294 0.814 0.814
Ni4 0.904 0.384 0.384
Ni5 0.814 0.294 0.814
Ni6 0.384 0.904 0.384
Ni7 0.616 0.616 0.096
Ni8 0.186 0.186 0.706
Ni9 0.706 0.186 0.186
Ni10 0.096 0.616 0.616
Ni11 0.186 0.706 0.186
Ni12 0.616 0.096 0.616
# Calculated density ... 7.744 g cm⁻³
# Space group ... R-3m
# Raw formation energy ... -0.206 eV per atom
# Energy ... -5.58 eV/atom
# Size of the total moment ... 0.00 μB/f.u.

# GdIrPb, relaxed, DFT PBE
data_GdIrPb
_chemical_formula_sum 'Gd1 Ir1 Pb1'
_symmetry_space_group_name_H-M 'P 1'
_symmetry_Int_Tables_number 1
_cell_length_a 4.763
_cell_length_b 4.763
_cell_length_c 4.763
_cell_angle_alpha 60.00
_cell_angle_beta 60.00
_cell_angle_gamma 60.00
loop_
_symmetry_equiv_pos_as_xyz
'x,y,z'
loop_
_atom_site_label
_atom_site_fract_x
_atom_site_fract_y
_atom_site_fract_z
Pb1 0.000 0.000 0.000
Gd1 0.500 0.500 0.500
Ir1 0.250 0.250 0.250
# Formation energy ... -0.440 eV/atom
# Calculated density ... 12.097 g cm⁻³
# Space group ... F-43m
# Energy ... -9.32 eV/atom
# Size of the total moment ... 7.65 μB/f.u.

# HfB2Ir, relaxed, DFT PBE
data_HfB2Ir
_chemical_formula_sum 'Hf2 B4 Ir2'
_symmetry_space_group_name_H-M 'P 1'
_symmetry_Int_Tables_number 1
_cell_length_a 3.884
_cell_length_b 3.884
_cell_length_c 7.811
_cell_angle_alpha 75.60
_cell_angle_beta 75.60
_cell_angle_gamma 90.00
loop_
_symmetry_equiv_pos_as_xyz
'x,y,z'
loop_
_atom_site_label
_atom_site_fract_x
_atom_site_fract_y
_atom_site_fract_z
B1 0.875 0.125 0.250
B2 0.875 0.625 0.250
B3 0.375 0.125 0.750
B4 0.875 0.125 0.750
Ir1 0.000 0.000 0.000
Ir2 0.750 0.250 0.500
Hf1 0.500 0.500 0.000
Hf2 0.250 0.750 0.500
# E above lowest polymorph ... 0 meV/atom
# Formation energy ... -0.165 eV/atom
# Calculated density ... 11.811 g cm⁻³
# Space group ... I4_1/amd
# Energy ... -8.21 eV/atom
# Size of the total moment ... 0.00 μB/f.u.